Computed, not measured: a relaxed DyPuTe crystal at the PBE-GGA level of DFT. Values from VASP.

```
&SYSTEM
  ibrav = 0, nat = 3, ntyp = 3
/
ATOMIC_SPECIES
Dy 162.50 Dy.upf
Te 127.60 Te.upf
Pu 244.00 Pu.upf
CELL_PARAMETERS angstrom
3.9027 0.0000 0.0000
0.0000 3.9027 0.0000
-1.9514 -1.9514 5.6170
ATOMIC_POSITIONS angstrom
Dy 0.0000 0.0000 3.5570
Te 1.9514 1.9514 1.9556
Pu 0.0000 0.0000 0.1044
```

Calculated values
Raw formation energy ... -0.547 eV/atom
Fermi-level density of states ... 3.1715 states/eV/atom
Energy relative to the lowest polymorph listed for this composition ... 0.0000 eV per atom